(1)
Computed, not measured: HfTi3Fe after structural relaxation at the PBE level of DFT.

Calculated values
E above lowest polymorph, meV/atom: 1746.7
Space group: Pm-3m

abc: 4.7175 4.7175 4.7175
angles: 90.00 90.00 90.00
Sites, in units of the cell vectors:
Hf1 0.0000 0.0000 0.0000
Fe1 0.5000 0.5000 0.5000
Ti1 0.0000 0.5000 0.0000
Ti2 0.0000 0.0000 0.5000
Ti3 0.5000 0.0000 0.0000

(2)
Computed, not measured: HfAg2S after structural relaxation at the PBE level of DFT.

Calculated values
ΔE_f (raw), eV/atom: -0.12
Space group: I-42d

abc: 7.7531 7.7531 6.0563
angles: 50.20 50.20 90.00
Sites, in units of the cell vectors:
S1 0.5000 0.5000 0.0000
S2 0.2500 0.7500 0.5000
Hf1 0.0000 0.0000 0.0000
Hf2 0.7500 0.2500 0.5000
Ag1 0.5922 0.1250 0.2500
Ag2 0.1578 0.6250 0.2500
Ag3 0.3750 0.4078 0.7500
Ag4 0.8750 0.8422 0.7500

(3)
Computed, not measured: HfZnIr after structural relaxation at the PBE level of DFT.

Calculated values
Space group: Cmcm
Electronic total energy, eV/atom: -7.445

abc: 4.2571 5.0821 5.2128
angles: 90.00 90.00 114.76
Sites, in units of the cell vectors:
Hf1 0.2143 0.4287 0.7500
Hf2 0.7857 0.5713 0.2500
Zn1 0.5000 0.0000 0.5000
Zn2 0.5000 0.0000 0.0000
Ir1 0.1024 0.2047 0.2500
Ir2 0.8976 0.7953 0.7500

- Which formula does entry 3 have?
  HfZnIr